# 1
KPuP2O8, relaxed, DFT GGA-PBE; calculated volume = 17.02 Å³/atom; E_tot = -7.8909 eV/atom; uncorrected formation energy = -2398 meV per atom; theoretical density = 3.85 g/cm³; Fermi-level density of states = 6.8 states/eV per cell
1.0
-1.938 -2.276 -4.272
1.364 -4.979 -0.731
-6.696 -2.676 4.202
O Pu P K
8 1 2 1
Cartesian
-0.953 -5.792 -3.532
-6.317 -4.140 2.731
-2.275 -3.808 -2.763
-4.318 -3.815 1.115
-2.952 -6.116 -1.915
-6.499 -4.892 0.350
-0.770 -5.039 -1.150
-4.995 -6.123 1.962
0.000 0.000 0.000
-5.461 -4.687 1.515
-1.809 -5.244 -2.316
-3.348 -1.338 2.101

---

# 2
FeTc2MoH, relaxed, DFT GGA-PBE; calculated volume = 11.79 Å³/atom; E_tot = -8.5622 eV/atom; theoretical density = 9.82 g/cm³; Fermi-level density of states = 4.2 states/eV per cell
1.0
3.879 0.000 0.000
0.000 3.879 0.000
0.000 0.000 3.919
Mo H Tc Fe
1 1 2 1
Cartesian
0.000 0.000 1.959
0.000 0.000 0.000
0.000 1.940 0.000
1.940 0.000 0.000
1.940 1.940 1.959

---

# 3
Li3PrMg3, relaxed, DFT GGA-PBE; calculated volume = 25.68 Å³/atom; E_tot = -1.8179 eV/atom; formation enthalpy at 0 K = 368.5 meV/atom; theoretical density = 2.17 g/cm³; Fermi-level density of states = 11.9 states/eV per cell
1.0
7.110 0.000 0.000
0.000 7.110 0.000
0.000 0.000 7.110
Li Mg Pr
6 6 2
Cartesian
0.000 3.555 5.333
3.555 1.778 0.000
3.555 5.333 0.000
5.333 0.000 3.555
1.778 0.000 3.555
0.000 3.555 1.778
5.333 3.555 0.000
3.555 0.000 5.333
0.000 5.333 3.555
1.778 3.555 0.000
0.000 1.778 3.555
3.555 0.000 1.778
0.000 0.000 0.000
3.555 3.555 3.555

---

# 4
Na7TlSn2, relaxed, DFT GGA-PBE; calculated volume = 41.72 Å³/atom; E_tot = -1.8824 eV/atom; formation enthalpy at 0 K = 78.1 meV/atom; theoretical density = 2.40 g/cm³; Fermi-level density of states = 6.6 states/eV per cell
1.0
-2.400 5.452 -0.725
-7.574 -3.667 -2.508
0.821 1.506 8.611
Na Sn Tl
7 2 1
Cartesian
-5.648 1.613 5.989
-1.412 2.968 2.161
-4.576 1.646 2.689
-3.505 1.679 -0.611
-1.505 0.073 5.530
-5.248 -2.233 0.573
-7.740 0.323 3.217
-2.847 2.712 4.980
-6.306 0.580 0.398
0.000 0.000 0.000

---

# 5
YAl2IrAu, relaxed, DFT GGA-PBE; calculated volume = 19.15 Å³/atom; E_tot = -5.9043 eV/atom; formation enthalpy at 0 K = -686.8 meV/atom; theoretical density = 9.23 g/cm³; Fermi-level density of states = 5.0 states/eV per cell
1.0
4.420 0.000 0.000
-2.210 6.647 0.000
0.000 0.000 6.519
Al Y Ir Au
4 2 2 2
Cartesian
2.210 4.114 0.281
2.210 4.114 2.978
0.000 2.533 3.541
0.000 2.533 6.238
2.210 1.226 1.630
0.000 5.421 4.889
2.210 2.484 4.889
0.000 4.163 1.630
0.000 0.000 3.260
0.000 0.000 0.000

---

# 6
AsRhSe2F, relaxed, DFT GGA-PBE; calculated volume = 18.65 Å³/atom; E_tot = -3.5907 eV/atom; uncorrected formation energy = 578 meV per atom; theoretical density = 6.32 g/cm³; Fermi-level density of states = 6.0 states/eV per cell
1.0
-2.454 -2.359 -3.389
4.054 -2.124 -1.456
-0.659 -3.033 2.589
Se F Rh As
2 1 1 1
Cartesian
2.027 -1.062 -0.728
-1.227 -1.180 -1.694
0.000 0.000 0.000
0.471 -3.758 -1.128
-0.330 -1.516 1.294

---

# 7
Ir2AuSe, relaxed, DFT GGA-PBE; calculated volume = 17.65 Å³/atom; E_tot = -5.6861 eV/atom; uncorrected formation energy = 435 meV per atom; theoretical density = 15.53 g/cm³; Fermi-level density of states = 2.9 states/eV per cell
1.0
-2.080 1.895 0.000
0.006 -2.139 -1.827
-5.301 -5.818 6.793
Ir Se Au
2 1 1
Cartesian
-0.132 -0.145 0.170
-2.312 -1.522 0.720
-2.408 -2.643 3.085
-5.173 -4.662 4.387

---

# 8
ThMn2Te6, relaxed, DFT GGA-PBE; calculated volume = 30.12 Å³/atom; E_tot = -5.3403 eV/atom; uncorrected formation energy = -384 meV per atom; theoretical density = 6.78 g/cm³; Fermi-level density of states = 6.1 states/eV per cell
1.0
-1.987 -2.095 7.325
1.786 -8.405 0.461
6.890 1.900 4.792
Te Mn Th
12 4 2
Cartesian
2.508 -2.030 10.164
2.665 -3.821 1.461
5.615 -2.716 8.135
-0.740 -3.189 6.711
5.925 -7.492 9.095
3.703 -6.385 6.338
2.986 -2.214 6.239
4.181 -6.570 2.413
7.430 -5.411 5.867
4.025 -4.778 11.116
0.765 -1.108 3.483
1.074 -5.884 4.442
3.450 -6.466 9.016
1.572 -4.542 6.651
3.240 -2.133 3.561
5.118 -4.057 5.926
5.636 -0.154 5.980
1.054 -8.446 6.597

---

# 9
Rb4Ac3LaO8, relaxed, DFT GGA-PBE; calculated volume = 21.39 Å³/atom; E_tot = -6.3450 eV/atom; uncorrected formation energy = -2546 meV per atom; theoretical density = 6.26 g/cm³; Fermi-level density of states = 0.0 states/eV per cell
1.0
-5.846 -5.025 -0.278
3.102 -3.243 -6.619
4.389 0.466 6.327
O La Ac Rb
8 1 3 4
Cartesian
-1.133 -4.668 1.172
-3.369 -4.906 -2.052
5.014 -2.897 1.482
2.777 -3.135 -1.742
2.035 -5.458 1.340
1.769 -2.128 1.280
-0.390 -2.345 -1.910
-0.124 -5.675 -1.849
1.551 -1.622 -3.309
0.822 -3.902 -0.285
-1.372 -4.134 -3.448
3.746 -1.389 -0.146
-0.729 -2.280 3.025
2.194 0.233 3.163
0.000 0.000 0.000
-2.923 -2.513 -0.139

---

# 10
Ba2IrO6, relaxed, DFT GGA-PBE; calculated volume = 18.72 Å³/atom; E_tot = -6.1932 eV/atom; uncorrected formation energy = -1476 meV per atom; theoretical density = 5.55 g/cm³; Fermi-level density of states = 11.6 states/eV per cell
1.0
5.517 0.000 0.000
0.000 5.517 0.000
0.000 0.000 11.072
O Ba Ir
12 4 2
Cartesian
4.578 0.938 1.373
0.938 4.578 1.373
4.192 4.192 0.000
4.083 1.434 5.536
1.434 4.083 5.536
4.578 0.938 9.700
1.820 1.820 4.163
3.697 3.697 4.163
3.697 3.697 6.909
1.820 1.820 6.909
1.325 1.325 0.000
0.938 4.578 9.700
0.000 0.000 7.407
2.758 2.758 1.871
0.000 0.000 3.665
2.758 2.758 9.201
0.000 0.000 0.000
2.758 2.758 5.536

---

# 11
PrSm2Cd, relaxed, DFT GGA-PBE; calculated volume = 32.39 Å³/atom; E_tot = -3.8379 eV/atom; formation enthalpy at 0 K = -54.6 meV/atom; theoretical density = 7.10 g/cm³; Fermi-level density of states = 4.0 states/eV per cell
1.0
3.679 0.000 0.000
1.840 3.186 0.000
1.840 1.062 11.052
Sm Cd Pr
2 1 1
Cartesian
1.840 1.062 8.534
1.840 1.062 2.512
3.679 2.124 0.001
3.679 2.124 5.531

---

# 12
Ho8InPd2, relaxed, DFT GGA-PBE; calculated volume = 27.87 Å³/atom; E_tot = -4.8564 eV/atom; formation enthalpy at 0 K = -334.0 meV/atom; theoretical density = 8.92 g/cm³; Fermi-level density of states = 14.1 states/eV per cell
1.0
-3.935 3.666 0.642
-0.364 -0.763 -8.014
-3.323 -6.067 4.133
Ho Pd In
8 2 1
Cartesian
-4.575 -2.952 1.516
-6.918 -2.706 -0.992
-1.434 -1.769 0.753
-3.047 -0.213 -4.755
-6.188 -1.396 -3.992
-0.703 -0.459 -2.246
-4.170 -0.144 -1.079
-3.451 -3.021 -2.160
-1.263 -2.374 -4.323
-2.424 -4.456 0.442
-1.967 1.833 0.321